1.
A relaxed structure of MgAs2C2. Source: Alexandria, functional PBE.

Values from the calculation:
**ΔH_f (0 K)**: 953 meV/atom

Cell: 5.294 5.294 4.645 Å, 55.26 55.26 90.00°
Element x y z (fractional)
C1 0.380 0.380 0.241
C2 0.620 0.620 0.759
As1 0.250 0.750 0.500
Mg1 0.000 0.000 0.000
As2 0.750 0.250 0.500

2.
A relaxed structure of LiRuBr2. Source: Alexandria, functional PBE.

Values from the calculation:
**Uncorrected formation energy**: 119 meV per atom

Cell: 4.681 4.681 4.681 Å, 60.00 60.00 60.00°
Element x y z (fractional)
Li1 0.000 0.000 0.000
Br1 0.250 0.250 0.250
Br2 0.750 0.750 0.750
Ru1 0.500 0.500 0.500

3.
A relaxed structure of Tb5NdHg4. Source: Alexandria, functional PBE.

Values from the calculation:
**ΔH_f (0 K)**: -378 meV/atom

Cell: 3.707 3.707 20.121 Å, 90.00 90.00 90.00°
Site moments in Bohr magnetons follow the coordinates.
Element x y z (fractional)
Tb1 0.500 0.500 0.500  0.13
Hg1 0.000 0.000 0.784  0.00
Hg2 0.000 0.000 0.595  0.01
Tb2 0.500 0.500 0.124  0.02
Tb3 0.500 0.500 0.876  0.02
Hg3 0.000 0.000 0.405  0.01
Tb4 0.500 0.500 0.687  0.09
Tb5 0.500 0.500 0.313  0.09
Hg4 0.000 0.000 0.216  0.00
Nd1 0.000 0.000 0.000  0.01

4.
A relaxed structure of Kr. Source: Alexandria, functional PBE.

Values from the calculation:
**ΔH_f (0 K)**: 0 meV/atom

Cell: 4.193 4.193 7.585 Å, 90.00 90.00 120.00°
Element x y z (fractional)
Kr1 0.667 0.333 0.750
Kr2 0.333 0.667 0.250

Computed values of DFT total energy (unit: eV per atom) for the preceding records, in sequence: -4.915 -3.515 -3.291 -0.049.